This record from OQMD describes BeReTcHg after structural relaxation. The functional is PBE.

Unit cell a=4.368 b=4.368 c=4.368 alpha=60.00 beta=60.00 gamma=60.00
Sites, in units of the cell vectors:
1 Be 0.000 0.000 0.000
2 Re 0.250 0.250 0.250
3 Tc 0.750 0.750 0.750
4 Hg 0.500 0.500 0.500

Summary:
Space-group type: F-43m (216)
Uncorrected energy, eV per atom: -5.85
Relative energy among the computed polymorphs, meV per atom: 281
V, Å³/atom: 14.73